A plane-wave DFT calculation with PBE+U was carried out for a relaxed structure of CrIrF2.

abc: 5.872 5.872 5.872
angles: 90.00 90.00 90.00
Space group Fm-3m (No. 225)
One atom of each set of equivalent atoms:
Cr 0.000 0.000 0.000 x4
Ir 0.000 0.000 0.500 x4
F 0.250 0.250 0.250 x8

Calculated values
- E above lowest polymorph: 1106 meV per atom